# 1
HoTcW: optimized geometry, PBE-GGA.

Lattice parameters (Å, degrees): 3.2207 3.2207 10.8462 90.00 90.00 90.00
Closest atoms and distances in Å follow each position.
Positions (direct):
Ho 0.0000 0.0000 0.0000  4 Tc 3.03, 5 W 3.08-3.35, 4 Ho 3.22
Ho 0.5000 0.5000 0.5000  4 Tc 3.03, 5 W 3.08-3.35, 4 Ho 3.22
Tc 0.0000 0.0000 0.6843  4 W 2.65
Tc 0.5000 0.5000 0.1843  4 W 2.65
W 0.0000 0.0000 0.3089  4 Tc 2.65
W 0.5000 0.5000 0.8089  4 Tc 2.65

Properties
Its formation energy is 0.08 eV per atom. As for the polymorph energy (0 for the lowest one): 151 meV/atom. The final energy comes out at -9.22 eV per atom. Its spin magnetization is 0.000 μB/f.u.


# 2
HoTcW: optimized geometry, PBE-GGA.

Lattice parameters (Å, degrees): 5.4698 5.5152 7.6292 90.00 90.00 90.00
Closest atoms and distances in Å follow each position.
Positions (direct):
Ho 0.0000 0.2500 0.1273  6 Tc 3.16-3.21, 6 W 3.19-3.22, 4 Ho 3.31-3.37
Ho 0.0000 0.7500 0.8727  6 Tc 3.16-3.21, 6 W 3.19-3.22, 4 Ho 3.31-3.37
Ho 0.5000 0.2500 0.3727  6 Tc 3.16-3.21, 6 W 3.19-3.22, 4 Ho 3.31-3.37
Ho 0.5000 0.7500 0.6273  6 Tc 3.16-3.21, 6 W 3.19-3.22, 4 Ho 3.31-3.37
Tc 0.0000 0.0000 0.5000  4 W 2.72, 2 Tc 2.76
Tc 0.0000 0.5000 0.5000  4 W 2.72, 2 Tc 2.76
Tc 0.5000 0.0000 0.0000  4 W 2.72, 2 Tc 2.76
Tc 0.5000 0.5000 0.0000  4 W 2.72, 2 Tc 2.76
W 0.2500 0.2500 0.7500  4 Tc 2.72, 2 W 2.73
W 0.2500 0.7500 0.2500  4 Tc 2.72, 2 W 2.73
W 0.7500 0.2500 0.7500  4 Tc 2.72, 2 W 2.73
W 0.7500 0.7500 0.2500  4 Tc 2.72, 2 W 2.73

Properties
Its formation energy is -0.07 eV per atom. As for the polymorph energy (0 for the lowest one): 0 meV/atom. The final energy comes out at -9.37 eV per atom. Its spin magnetization is 0.000 μB/f.u.


# 3
Ho3Tc8W: optimized geometry, PBE-GGA.

Lattice parameters (Å, degrees): 5.3105 5.3176 8.9751 75.77 75.64 61.17
Closest atoms and distances in Å follow each position.
Positions (direct):
Ho 0.0000 0.0000 0.0000  12 Tc 3.00-3.30, 4 Ho 3.25-3.30
Ho 0.1438 0.1424 0.6203  12 Tc 2.95-3.23, 2 W 3.23, 1 Ho 3.28
Ho 0.6234 0.6237 0.1255  12 Tc 3.09-3.29, 1 W 3.17, 3 Ho 3.25-3.30
Tc 0.0643 0.0644 0.3239  6 Tc 2.59-2.79
Tc 0.0693 0.5605 0.3159  6 Tc 2.61-2.75
Tc 0.0716 0.5735 0.8088  6 Tc 2.57-2.77
Tc 0.3114 0.3117 0.0556  6 Tc 2.58-2.88
Tc 0.5603 0.0697 0.3162  6 Tc 2.62-2.75
Tc 0.5682 0.5666 0.7791  5 Tc 2.57-2.77, 1 W 2.69
Tc 0.5752 0.0695 0.8086  6 Tc 2.57-2.77
Tc 0.8248 0.8228 0.5609  6 Tc 2.59-2.62
W 0.5263 0.5254 0.4942  4 Tc 2.69-3.01

Properties
Its formation energy is -0.02 eV per atom. The final energy comes out at -9.15 eV per atom. Its spin magnetization is 0.000 μB/f.u.


# 4
Y2HoTc: optimized geometry, PBE-GGA.

Lattice parameters (Å, degrees): 3.4698 3.4698 8.8454 90.00 90.00 90.00
Closest atoms and distances in Å follow each position.
Positions (direct):
Y 0.0000 0.0000 0.1868  4 Tc 2.96, 1 Y 3.30
Y 0.0000 0.0000 0.8132  4 Tc 2.96, 1 Y 3.30
Ho 0.5000 0.5000 0.5000  4 Ho 3.47, 8 Y 3.70
Tc 0.5000 0.5000 0.0000  8 Y 2.96

Properties
Its formation energy is 0.06 eV per atom. As for the polymorph energy (0 for the lowest one): 151 meV/atom. The final energy comes out at -6.91 eV per atom. Its spin magnetization is 0.000 μB/f.u.


- The lowest final energy belongs to which entry?
  number 2